The following is a DFT calculation (PBE-GGA) of a geometry-optimized Ca2FeNi structure.

a b c (Å): 4.834 4.834 4.834
angles (deg): 60.00 60.00 60.00
Atoms (fractional coordinates):
Ca 0.000 0.000 0.000
Ca 0.250 0.250 0.250
Fe 0.750 0.750 0.750
Ni 0.500 0.500 0.500

- N(E_F): 6.6 states/eV/f.u.
- Formation energy: 0.5057 eV per atom
- Volume: 79.9 Å³ per cell
- Energy above the most stable polymorph in this dataset: 372 meV/atom